Compound: MnO2
Source: the Alexandria database
Functional: SCAN
Structure: single point on PBEsol structure

Geometry as POSCAR:
```
MnO2
1.0
2.8417 0.0000 0.0000
0.0000 9.2488 -0.0426
0.0000 -0.3645 9.3638
O Mn
12 6
Direct
0.5000 0.9047 0.8370
0.0000 0.0986 0.4122
0.0000 0.1456 0.9216
0.0000 0.3367 0.1154
0.5000 0.3988 0.9064
0.0000 0.9014 0.5878
0.5000 0.8900 0.3244
0.5000 0.1100 0.6756
0.0000 0.6633 0.8846
0.5000 0.6012 0.0936
0.5000 0.0953 0.1630
0.0000 0.8544 0.0784
0.5000 0.2345 0.0222
0.5000 0.0000 0.5000
0.0000 0.5000 0.0000
0.0000 0.9883 0.2355
0.0000 0.0117 0.7645
0.5000 0.7655 0.9778
```

Computed properties:
Space-group type: P2/m (10)
Raw formation energy (eV/atom): -2.078

=====

Compound: LiYSe2
Source: the Alexandria database
Functional: SCAN
Structure: single point on PBEsol structure

Geometry as POSCAR:
```
LiYSe2
1.0
-1.9217 2.0009 -2.1877
-2.4115 -2.2663 1.2373
-1.4443 4.4531 5.3416
Se Y Li
2 1 1
Direct
0.0000 0.0000 0.2546
0.0000 0.0000 0.7454
0.5000 0.5000 0.5000
0.5000 0.5000 0.0000
```

Computed properties:
Space-group type: Cmmm (65)
Raw formation energy (eV/atom): -1.549

=====

Compound: CsRb2AsF6
Source: the Alexandria database
Functional: SCAN
Structure: single point on PBEsol structure

Geometry as POSCAR:
```
CsRb2AsF6
1.0
6.7543 0.0000 0.0000
3.3771 5.8494 0.0000
3.3771 1.9498 5.5148
F Rb As Cs
6 2 1 1
Direct
0.2143 0.7857 0.2143
0.7857 0.2143 0.7857
0.7857 0.2143 0.2143
0.2143 0.7857 0.7857
0.2143 0.2143 0.7857
0.7857 0.7857 0.2143
0.2500 0.2500 0.2500
0.7500 0.7500 0.7500
0.0000 0.0000 0.0000
0.5000 0.5000 0.5000
```

Computed properties:
Space-group type: Fm-3m (225)
Raw formation energy (eV/atom): -2.553

=====

Compound: HfTi3Zn
Source: the Alexandria database
Functional: SCAN
Structure: single point on PBEsol structure

Geometry as POSCAR:
```
HfTi3Zn
1.0
4.7472 0.0000 0.0000
0.0000 4.7472 0.0000
0.0000 0.0000 4.7472
Ti Zn Hf
3 1 1
Direct
0.5000 0.0000 0.0000
0.0000 0.5000 0.0000
0.0000 0.0000 0.5000
0.5000 0.5000 0.5000
0.0000 0.0000 0.0000
```

Computed properties:
E_form (eV/atom): 1.212
Energy relative to the lowest polymorph listed for this composition (meV/atom): 567
Space-group type: Pm-3m (221)

=====

Compound: Sc2TeSe
Source: the Alexandria database
Functional: SCAN
Structure: single point on PBEsol structure

Geometry as POSCAR:
```
Sc2TeSe
1.0
6.2059 0.0000 0.0000
0.0000 6.2059 0.0000
-3.1030 -3.1030 6.1874
Sc Se Te
4 2 2
Direct
0.8458 0.3750 0.2500
0.4042 0.8750 0.2500
0.6250 0.5958 0.7500
0.1250 0.1542 0.7500
0.7500 0.2500 0.5000
0.5000 0.5000 0.0000
0.0000 0.0000 0.0000
0.2500 0.7500 0.5000
```

Computed properties:
Energy relative to the lowest polymorph listed for this composition (meV/atom): 347
Space-group type: I-42d (122)
Raw formation energy (eV/atom): -1.152

=====

Compound: LiScZn
Source: the Alexandria database
Functional: SCAN
Structure: single point on PBEsol structure

Geometry as POSCAR:
```
LiScZn
1.0
-1.1665 0.8558 4.0519
2.7798 -0.6430 3.2204
1.7126 3.3623 2.0672
Sc Zn Li
1 1 1
Direct
0.0000 0.0000 0.0000
0.5000 0.5000 0.5000
0.2500 0.2500 0.2500
```

Computed properties:
E_form (eV/atom): 0.243
Space-group type: F-43m (216)

=====

Compound: CoPb2W
Source: the Alexandria database
Functional: SCAN
Structure: single point on PBEsol structure

Geometry as POSCAR:
```
CoPb2W
1.0
-1.6018 -0.9096 -2.5519
3.9535 -3.3139 -1.3004
-3.0981 -1.1049 4.2792
W Pb Co
1 2 1
Direct
0.5000 0.0000 0.0000
0.2751 0.2751 0.5501
0.7249 0.7249 0.4499
0.0000 0.5000 0.0000
```

Computed properties:
E_form (eV/atom): 1.197
Energy relative to the lowest polymorph listed for this composition (meV/atom): 203
Space-group type: Immm (71)

=====

Compound: GdZn
Source: the Alexandria database
Functional: SCAN
Structure: single point on PBEsol structure

Geometry as POSCAR:
```
GdZn
1.0
3.5327 0.0000 0.0000
0.0000 3.5327 0.0000
0.0000 0.0000 3.5327
Gd Zn
1 1
Direct
0.0000 0.0000 0.0000
0.5000 0.5000 0.5000
```

Computed properties:
E_form (eV/atom): -0.388
Space-group type: Pm-3m (221)

=====

Compound: PmTm3
Source: the Alexandria database
Functional: SCAN
Structure: single point on PBEsol structure

Geometry as POSCAR:
```
PmTm3
1.0
-4.8575 0.2134 0.5608
-0.3317 -4.7669 -1.0591
3.0925 1.1921 4.9751
Tm Pm
3 1
Direct
0.7500 0.2500 0.5000
0.5000 0.5000 0.0000
0.2500 0.7500 0.5000
0.0000 0.0000 0.0000
```

Computed properties:
E_form (eV/atom): 0.030
Energy relative to the lowest polymorph listed for this composition (meV/atom): 20
Space-group type: I4/mmm (139)

=====

Compound: MgMn2CrF
Source: the Alexandria database
Functional: SCAN
Structure: single point on PBEsol structure

Geometry as POSCAR:
```
MgMn2CrF
1.0
3.8183 0.0000 0.0000
0.0000 4.5608 0.0000
0.0000 0.0000 4.5608
Mn F Mg Cr
2 1 1 1
Direct
0.0000 0.0000 0.5000
0.0000 0.5000 0.0000
0.5000 0.0000 0.0000
0.5000 0.5000 0.5000
0.0000 0.0000 0.0000
```

Computed properties:
Space-group type: P4/mmm (123)
Raw formation energy (eV/atom): -0.061

=====

Compound: ScGaPt2
Source: the Alexandria database
Functional: SCAN
Structure: single point on PBEsol structure

Geometry as POSCAR:
```
ScGaPt2
1.0
4.4701 0.0000 0.0000
2.2351 3.8712 0.0000
2.2351 1.2904 3.6498
Pt Sc Ga
2 1 1
Direct
0.2500 0.2500 0.2500
0.7500 0.7500 0.7500
0.0000 0.0000 0.0000
0.5000 0.5000 0.5000
```

Computed properties:
E_form (eV/atom): -1.068
Space-group type: Fm-3m (225)

=====

Compound: TcOs2W
Source: the Alexandria database
Functional: SCAN
Structure: single point on PBEsol structure

Geometry as POSCAR:
```
TcOs2W
1.0
-2.8582 -1.6241 -2.0348
1.6349 -3.4712 0.4743
-1.4100 2.0390 4.0259
Tc W Os
1 1 2
Direct
0.0000 0.0000 0.0000
0.5000 0.5000 0.0000
0.7500 0.2500 0.5000
0.2500 0.7500 0.5000
```

Computed properties:
E_form (eV/atom): 0.018
Energy relative to the lowest polymorph listed for this composition (meV/atom): 11
Space-group type: I4/mmm (139)